Density functional theory data (PBE-GGA) for a geometry-optimized NaCd4P3 structure.

Lattice parameters (Å, degrees): 4.3500 4.3500 33.6536 90.00 90.00 120.00
Closest atoms and distances in Å follow each position.
Space group R-3m (No. 166, hexagonal axes)
Unique sites:
Na: 0.0000 0.0000 0.0000 x3  6 P 3.12, 6 Cd 3.43
Cd: 0.0000 0.0000 0.2007 x6  4 P 2.61-2.76
Cd: 0.0000 0.0000 0.4027 x6  3 P 2.56
P: 0.0000 0.0000 0.2783 x6  4 Cd 2.56-2.61
P: 0.0000 0.0000 0.5000 x3  6 Cd 2.76

Values from the calculation:
crystal system	trigonal
total energy	-2.811	eV per atom